{
  "formula": "NdDy6Tm12",
  "functional": "GGA-PBE",
  "state": "relaxed",
  "cell": [[-4.0165, 6.3833, 5.2030], [-5.6137, -7.2404, -0.1129], [7.5983, -2.6097, 4.4052]],
  "species": ["Nd", "Dy", "Dy", "Dy", "Dy", "Dy", "Dy", "Tm", "Tm", "Tm", "Tm", "Tm", "Tm", "Tm", "Tm", "Tm", "Tm", "Tm", "Tm"],
  "frac_coords": [[0.0000, 0.0000, 0.0000], [0.6882, 0.2866, 0.6882], [0.6882, 0.6882, 0.2866], [0.2866, 0.6882, 0.6882], [0.3118, 0.3118, 0.7134], [0.3118, 0.7134, 0.3118], [0.7134, 0.3118, 0.3118], [0.8878, 0.1122, 0.5000], [0.3438, 0.1114, 0.3438], [0.3438, 0.3438, 0.1114], [0.8886, 0.6562, 0.6562], [0.6562, 0.6562, 0.8886], [0.6562, 0.8886, 0.6562], [0.5000, 0.8878, 0.1122], [0.1122, 0.5000, 0.8878], [0.1122, 0.8878, 0.5000], [0.5000, 0.1122, 0.8878], [0.8878, 0.5000, 0.1122], [0.1114, 0.3438, 0.3438]],
  "dft_energy_ev_per_atom": -4.082,
  "sg": "No. 166",
  "delta_e_f_ev_per_atom": 0.446,
  "e_above_lowest_polymorph_mev_per_atom": 283,
  "m_tot_mub_per_atom": 0.000
}